DFT (PBE-GGA) results for crystalline LaPm2Ag6 at its relaxed geometry.

Results
symmetry = No. 191

```
LaPm2Ag6
1.0
8.3405 0.0000 0.0000
-4.1702 7.2231 0.0000
0.0000 0.0000 3.5983
La Pm Ag
1 2 6
direct
0.0000 0.0000 0.0000 La
0.3333 0.6667 0.0000 Pm
0.6667 0.3333 0.0000 Pm
0.0000 0.3348 0.5000 Ag
0.0000 0.6652 0.5000 Ag
0.3348 0.0000 0.5000 Ag
0.3348 0.3348 0.5000 Ag
0.6652 0.0000 0.5000 Ag
0.6652 0.6652 0.5000 Ag
```

DFT (PBE-GGA) results for crystalline La4PmAg at its relaxed geometry.

Results
symmetry = No. 123

```
La4PmAg
1.0
3.7813 0.0000 0.0000
0.0000 3.7813 0.0000
0.0000 0.0000 13.9628
La Pm Ag
4 1 1
direct
0.0000 0.0000 0.1382 La
0.0000 0.0000 0.8618 La
0.5000 0.5000 0.3193 La
0.5000 0.5000 0.6807 La
0.0000 0.0000 0.5000 Pm
0.5000 0.5000 0.0000 Ag
```

DFT (PBE-GGA) results for crystalline La6PmAg at its relaxed geometry.

Results
symmetry = No. 2

```
La6PmAg
1.0
6.9967 0.0000 0.0000
-3.4845 6.0755 0.0000
-0.0112 -3.9852 7.1429
La Pm Ag
6 1 1
direct
0.0420 0.3050 0.2505 La
0.2365 0.2911 0.7504 La
0.4407 0.9863 0.2496 La
0.5593 0.0137 0.7504 La
0.7635 0.7089 0.2496 La
0.9580 0.6950 0.7495 La
0.5000 0.5000 0.5000 Pm
0.0000 0.5000 0.0000 Ag
```

DFT (PBE-GGA) results for crystalline LaPm2Ag2 at its relaxed geometry.

Results
symmetry = No. 11

```
LaPm2Ag2
1.0
5.3407 0.0000 0.0000
0.0000 5.0146 0.0000
-1.1897 0.0000 11.4392
La Pm Ag
2 4 4
direct
0.1992 0.2500 0.2458 La
0.8008 0.7500 0.7542 La
0.2499 0.7500 0.4909 Pm
0.3420 0.2500 0.8861 Pm
0.6580 0.7500 0.1139 Pm
0.7501 0.2500 0.5091 Pm
0.1375 0.7500 0.0030 Ag
0.2775 0.2500 0.6344 Ag
0.7225 0.7500 0.3656 Ag
0.8625 0.2500 0.9970 Ag
```

DFT (PBE-GGA) results for crystalline La3PmAg3 at its relaxed geometry.

Results
symmetry = No. 12

```
La3PmAg3
1.0
5.3349 -5.4099 0.0000
5.3349 5.4099 0.0000
-0.1062 0.0000 7.1819
La Pm Ag
6 2 6
direct
0.1843 0.8157 0.0000 La
0.2913 0.7087 0.5000 La
0.3577 0.3577 0.9184 La
0.6423 0.6423 0.0816 La
0.7087 0.2913 0.5000 La
0.8157 0.1843 0.0000 La
0.2365 0.2365 0.3785 Pm
0.7635 0.7635 0.6215 Pm
0.0125 0.4665 0.7307 Ag
0.0622 0.0622 0.6869 Ag
0.4665 0.0125 0.7307 Ag
0.5335 0.9875 0.2693 Ag
0.9378 0.9378 0.3131 Ag
0.9875 0.5335 0.2693 Ag
```

DFT (PBE-GGA) results for crystalline La2PmAg6 at its relaxed geometry.

Results
symmetry = No. 191

```
La2PmAg6
1.0
8.3659 0.0000 0.0000
-4.1829 7.2450 0.0000
0.0000 0.0000 3.6520
La Pm Ag
2 1 6
direct
0.3333 0.6667 0.0000 La
0.6667 0.3333 0.0000 La
0.0000 0.0000 0.0000 Pm
0.0000 0.3317 0.5000 Ag
0.0000 0.6683 0.5000 Ag
0.3317 0.0000 0.5000 Ag
0.3317 0.3317 0.5000 Ag
0.6683 0.0000 0.5000 Ag
0.6683 0.6683 0.5000 Ag
```

DFT (PBE-GGA) results for crystalline LaPmAg3 at its relaxed geometry.

Results
symmetry = No. 63

```
LaPmAg3
1.0
1.8498 -14.3095 0.0000
1.8498 14.3095 0.0000
0.0000 0.0000 4.8491
La Pm Ag
2 2 6
direct
0.0741 0.9259 0.7500 La
0.9259 0.0741 0.2500 La
0.2088 0.7912 0.2500 Pm
0.7912 0.2088 0.7500 Pm
0.3239 0.6761 0.2500 Ag
0.3792 0.6208 0.7500 Ag
0.4763 0.5237 0.7500 Ag
0.5237 0.4763 0.2500 Ag
0.6208 0.3792 0.2500 Ag
0.6761 0.3239 0.7500 Ag
```

DFT (PBE-GGA) results for crystalline LaPm2Ag3 at its relaxed geometry.

Results
symmetry = No. 123

```
LaPm2Ag3
1.0
3.7451 0.0000 0.0000
0.0000 3.7451 0.0000
0.0000 0.0000 11.3831
La Pm Ag
1 2 3
direct
0.0000 0.0000 0.0000 La
0.0000 0.0000 0.3362 Pm
0.0000 0.0000 0.6638 Pm
0.5000 0.5000 0.1771 Ag
0.5000 0.5000 0.5000 Ag
0.5000 0.5000 0.8229 Ag
```

DFT (PBE-GGA) results for crystalline LaPm5Ag6 at its relaxed geometry.

Results
symmetry = No. 65

```
LaPm5Ag6
1.0
2.6666 -8.0000 0.0000
2.6666 8.0000 0.0000
0.0000 0.0000 7.4058
La Pm Ag
1 5 6
direct
0.0000 0.0000 0.0000 La
0.0000 0.0000 0.5000 Pm
0.3322 0.6678 0.0000 Pm
0.3345 0.6655 0.5000 Pm
0.6655 0.3345 0.5000 Pm
0.6678 0.3322 0.0000 Pm
0.1692 0.8308 0.2542 Ag
0.1692 0.8308 0.7458 Ag
0.5000 0.5000 0.2559 Ag
0.5000 0.5000 0.7441 Ag
0.8308 0.1692 0.2542 Ag
0.8308 0.1692 0.7458 Ag
```

DFT (PBE-GGA) results for crystalline La3PmAg3 at its relaxed geometry.

Results
symmetry = No. 65

```
La3PmAg3
1.0
4.9343 -5.6318 0.0000
4.9343 5.6318 0.0000
0.0000 0.0000 7.5612
La Pm Ag
6 2 6
direct
0.2155 0.7845 0.0000 La
0.2916 0.2916 0.5000 La
0.2956 0.2956 0.0000 La
0.7044 0.7044 0.0000 La
0.7084 0.7084 0.5000 La
0.7845 0.2155 0.0000 La
0.2220 0.7780 0.5000 Pm
0.7780 0.2220 0.5000 Pm
0.0000 0.0000 0.2645 Ag
0.0000 0.0000 0.7355 Ag
0.0000 0.5000 0.2573 Ag
0.0000 0.5000 0.7427 Ag
0.5000 0.0000 0.2573 Ag
0.5000 0.0000 0.7427 Ag
```

DFT (PBE-GGA) results for crystalline La2Pm3Ag4 at its relaxed geometry.

Results
symmetry = No. 64

```
La2Pm3Ag4
1.0
3.5444 -9.3082 0.0000
3.5444 9.3082 0.0000
0.0000 0.0000 7.8848
La Pm Ag
4 6 8
direct
0.0963 0.9037 0.9231 La
0.4037 0.5963 0.4231 La
0.5963 0.4037 0.5769 La
0.9037 0.0963 0.0769 La
0.0000 0.0000 0.5000 Pm
0.0078 0.4922 0.7500 Pm
0.4922 0.0078 0.2500 Pm
0.5000 0.5000 0.0000 Pm
0.5078 0.9922 0.7500 Pm
0.9922 0.5078 0.2500 Pm
0.1620 0.8380 0.5144 Ag
0.1756 0.3244 0.7500 Ag
0.3244 0.1756 0.2500 Ag
0.3380 0.6620 0.0144 Ag
0.6620 0.3380 0.9856 Ag
0.6756 0.8244 0.7500 Ag
0.8244 0.6756 0.2500 Ag
0.8380 0.1620 0.4856 Ag
```

DFT (PBE-GGA) results for crystalline LaPm2Ag at its relaxed geometry.

Results
symmetry = No. 160

```
LaPm2Ag
1.0
1.8415 1.0632 10.8631
-1.8415 1.0632 10.8631
0.0000 -2.1264 10.8631
La Pm Ag
1 2 1
direct
0.0000 0.0000 0.0000 La
0.5726 0.5726 0.5726 Pm
0.7620 0.7620 0.7620 Pm
0.1674 0.1674 0.1674 Ag
```

DFT (PBE-GGA) results for crystalline LaPm2Ag2 at its relaxed geometry.

Results
symmetry = No. 11

```
LaPm2Ag2
1.0
3.7489 0.0000 0.0000
0.0000 5.4589 0.0000
-1.8657 0.0000 13.9141
La Pm Ag
2 4 4
direct
0.1444 0.2500 0.2900 La
0.8556 0.7500 0.7100 La
0.0473 0.7500 0.0949 Pm
0.2342 0.7500 0.4672 Pm
0.7658 0.2500 0.5328 Pm
0.9527 0.2500 0.9051 Pm
0.3587 0.2500 0.7175 Ag
0.4550 0.7500 0.9098 Ag
0.5450 0.2500 0.0902 Ag
0.6413 0.7500 0.2825 Ag
```

DFT (PBE-GGA) results for crystalline La2Pm2Ag at its relaxed geometry.

Results
symmetry = No. 139

```
La2Pm2Ag
1.0
-1.8683 1.8683 11.6877
1.8683 -1.8683 11.6877
1.8683 1.8683 -11.6877
La Pm Ag
2 2 1
direct
0.0852 0.0852 0.0000 La
0.9148 0.9148 0.0000 La
0.3023 0.3023 0.0000 Pm
0.6977 0.6977 0.0000 Pm
0.5000 0.5000 0.0000 Ag
```

DFT (PBE-GGA) results for crystalline La2Pm3Ag3 at its relaxed geometry.

Results
symmetry = No. 71

```
La2Pm3Ag3
1.0
-1.8920 2.7145 11.1992
1.8920 -2.7145 11.1992
1.8920 2.7145 -11.1992
La Pm Ag
2 3 3
direct
0.2300 0.2300 0.0000 La
0.7700 0.7700 0.0000 La
0.0000 0.0000 0.0000 Pm
0.3818 0.8818 0.5000 Pm
0.6182 0.1182 0.5000 Pm
0.1133 0.6133 0.5000 Ag
0.5000 0.5000 0.0000 Ag
0.8867 0.3867 0.5000 Ag
```

DFT (PBE-GGA) results for crystalline LaPm2Ag at its relaxed geometry.

Results
symmetry = No. 62

```
LaPm2Ag
1.0
7.0974 0.0000 0.0000
0.0000 10.6933 0.0000
0.0000 0.0000 6.6705
La Pm Ag
4 8 4
direct
0.0072 0.2500 0.1277 La
0.4928 0.7500 0.6277 La
0.5072 0.2500 0.3723 La
0.9928 0.7500 0.8723 La
0.1912 0.0424 0.6659 Pm
0.1912 0.4576 0.6659 Pm
0.3088 0.5424 0.1659 Pm
0.3088 0.9576 0.1659 Pm
0.6912 0.0424 0.8341 Pm
0.6912 0.4576 0.8341 Pm
0.8088 0.5424 0.3341 Pm
0.8088 0.9576 0.3341 Pm
0.1021 0.7500 0.4081 Ag
0.3979 0.2500 0.9081 Ag
0.6021 0.7500 0.0919 Ag
0.8979 0.2500 0.5919 Ag
```

DFT (PBE-GGA) results for crystalline La8PmAg2 at its relaxed geometry.

Results
symmetry = No. 12

```
La8PmAg2
1.0
8.6009 -2.7477 0.0000
8.6009 2.7477 0.0000
-3.6514 0.0000 7.7424
La Pm Ag
8 1 2
direct
0.0498 0.0498 0.2415 La
0.1545 0.1545 0.7183 La
0.3089 0.3089 0.5334 La
0.3940 0.3940 0.0270 La
0.6060 0.6060 0.9730 La
0.6911 0.6911 0.4666 La
0.8455 0.8455 0.2817 La
0.9502 0.9502 0.7585 La
0.5000 0.5000 0.5000 Pm
0.2124 0.2124 0.1323 Ag
0.7876 0.7876 0.8677 Ag
```

DFT (PBE-GGA) results for crystalline LaPm2Ag5 at its relaxed geometry.

Results
symmetry = No. 139

```
LaPm2Ag5
1.0
-2.5945 2.5945 7.3593
2.5945 -2.5945 7.3593
2.5945 2.5945 -7.3593
La Pm Ag
1 2 5
direct
0.0000 0.0000 0.0000 La
0.2689 0.2689 0.0000 Pm
0.7311 0.7311 0.0000 Pm
0.1219 0.6219 0.5000 Ag
0.3781 0.8781 0.5000 Ag
0.5000 0.5000 0.0000 Ag
0.6219 0.1219 0.5000 Ag
0.8781 0.3781 0.5000 Ag
```

DFT (PBE-GGA) results for crystalline LaPm2Ag8 at its relaxed geometry.

Results
symmetry = No. 2

```
LaPm2Ag8
1.0
5.2624 0.0000 0.0000
0.0081 6.2003 0.0000
2.6284 3.0751 7.7526
La Pm Ag
1 2 8
direct
0.0000 0.0000 0.0000 La
0.1849 0.6849 0.6307 Pm
0.8151 0.3151 0.3693 Pm
0.2031 0.2033 0.5934 Ag
0.2518 0.5007 0.0000 Ag
0.3693 0.0962 0.2616 Ag
0.3688 0.6419 0.2620 Ag
0.6312 0.3581 0.7380 Ag
0.6307 0.9038 0.7384 Ag
0.7482 0.4993 0.0000 Ag
0.7969 0.7967 0.4066 Ag
```

DFT (PBE-GGA) results for crystalline La3Pm4Ag at its relaxed geometry.

Results
symmetry = No. 123

```
La3Pm4Ag
1.0
3.7360 0.0000 0.0000
0.0000 3.7360 0.0000
0.0000 0.0000 19.0425
La Pm Ag
3 4 1
direct
0.0000 0.0000 0.0000 La
0.0000 0.0000 0.2701 La
0.0000 0.0000 0.7299 La
0.5000 0.5000 0.1351 Pm
0.5000 0.5000 0.4033 Pm
0.5000 0.5000 0.5967 Pm
0.5000 0.5000 0.8649 Pm
0.0000 0.0000 0.5000 Ag
```

| no. | DOS(E_F) (states/eV per atom) | DFT formation energy (eV/atom) |
| --- | --- | --- |
| 1 | 0.856 | -0.2648 |
| 2 | 1.744 | -0.0723 |
| 3 | 1.624 | 0.3029 |
| 4 | 1.132 | -0.1049 |
| 5 | 1.102 | -0.1265 |
| 6 | 0.925 | -0.2732 |
| 7 | 0.934 | -0.2671 |
| 8 | 0.759 | -0.2676 |
| 9 | 0.812 | -0.2660 |
| 10 | 1.152 | -0.1254 |
| 11 | 1.073 | -0.1353 |
| 12 | 1.372 | 0.0170 |
| 13 | 1.017 | -0.1948 |
| 14 | 1.344 | -0.0830 |
| 15 | 1.236 | -0.1635 |
| 16 | 1.101 | -0.0935 |
| 17 | 1.375 | -0.0566 |
| 18 | 0.739 | -0.2042 |
| 19 | 0.514 | -0.2301 |
| 20 | 1.648 | -0.0483 |